# 1
The following is a DFT calculation (GGA-PBE) of crystalline ICl at its relaxed geometry.

Cell lengths 8.7979, 8.2417, 10.1519 Å; angles 90.00, 90.00, 90.00 degrees
Closest atoms and distances in Å follow each position.
Fractional positions:
I 0.4711 0.2500 0.2504  2 Cl 2.58-2.62
I 0.9711 0.2500 0.2496  2 Cl 2.58-2.62
I 0.5289 0.7500 0.7496  2 Cl 2.58-2.62
I 0.0289 0.7500 0.7504  2 Cl 2.58-2.62
I 0.1306 0.2500 0.9762  1 Cl 2.41
I 0.6306 0.2500 0.5238  1 Cl 2.41
I 0.8694 0.7500 0.0238  1 Cl 2.41
I 0.3694 0.7500 0.4762  1 Cl 2.41
Cl 0.2653 0.2500 0.7691  1 I 2.41
Cl 0.7653 0.2500 0.7309  1 I 2.41
Cl 0.7347 0.7500 0.2309  1 I 2.41
Cl 0.2347 0.7500 0.2691  1 I 2.41
Cl 0.2181 0.2500 0.3866  2 I 2.58-2.62
Cl 0.7181 0.2500 0.1134  2 I 2.58-2.62
Cl 0.7819 0.7500 0.6134  2 I 2.58-2.62
Cl 0.2819 0.7500 0.8866  2 I 2.58-2.62

## Properties
As for the formation energy from raw total energies: -91 meV/atom. The total energy is -1.789 eV per atom. The symmetry is Pnma, No. 62.



# 2
The following is a DFT calculation (GGA-PBE) of crystalline ICl at its relaxed geometry.

Cell lengths 11.8792, 11.8792, 4.5057 Å; angles 90.00, 90.00, 120.00 degrees
Closest atoms and distances in Å follow each position.
Fractional positions:
I 0.8535 0.1661 0.2500  1 Cl 2.35
I 0.6874 0.8535 0.7500  1 Cl 2.35
I 0.8339 0.6874 0.2500  1 Cl 2.35
I 0.1465 0.8339 0.7500  1 Cl 2.35
I 0.3126 0.1465 0.2500  1 Cl 2.35
I 0.1661 0.3126 0.7500  1 Cl 2.35
Cl 0.6355 0.1163 0.2500  1 I 2.35
Cl 0.5192 0.6355 0.7500  1 I 2.35
Cl 0.8837 0.5192 0.2500  1 I 2.35
Cl 0.3645 0.8837 0.7500  1 I 2.35
Cl 0.4808 0.3645 0.2500  1 I 2.35
Cl 0.1163 0.4808 0.7500  1 I 2.35

## Properties
As for the formation energy from raw total energies: 28 meV/atom. The total energy is -1.670 eV per atom. The symmetry is P6_3/m, No. 176.



# 3
The following is a DFT calculation (GGA-PBE) of crystalline I4Cl at its relaxed geometry.

Cell lengths 5.8109, 5.8109, 5.8109 Å; angles 90.00, 90.00, 90.00 degrees
Closest atoms and distances in Å follow each position.
Fractional positions:
I 0.0000 0.0000 0.0000  12 I 4.11
I 0.5000 0.0000 0.5000  2 Cl 2.91
I 0.0000 0.5000 0.5000  2 Cl 2.91
I 0.5000 0.5000 0.0000  2 Cl 2.91
Cl 0.5000 0.5000 0.5000  6 I 2.91

## Properties
As for the formation energy from raw total energies: 508 meV/atom. The total energy is -1.102 eV per atom. The symmetry is Pm-3m, No. 221. The calculation puts the relative energy among the computed polymorphs at 552 meV per atom.



# 4
The following is a DFT calculation (GGA-PBE) of crystalline ICl3 at its relaxed geometry.

Cell lengths 8.7152, 5.0743, 9.6907 Å; angles 62.22, 90.01, 90.01 degrees
Closest atoms and distances in Å follow each position.
Fractional positions:
I 0.2500 0.1433 0.4135  1 Cl 2.43
I 0.7500 0.8567 0.5865  1 Cl 2.43
Cl 0.7500 0.2523 0.2236  1 Cl 2.04
Cl 0.7500 0.3255 0.6672  1 I 2.43
Cl 0.7500 0.5514 0.9920  1 Cl 2.04
Cl 0.2500 0.7477 0.7764  1 Cl 2.04
Cl 0.2500 0.6745 0.3328  1 I 2.43
Cl 0.2500 0.4486 0.0080  1 Cl 2.04

## Properties
As for the formation energy from raw total energies: -5 meV/atom. The total energy is -1.778 eV per atom. The symmetry is P2_1/m, No. 11. The calculation puts the relative energy among the computed polymorphs at 188 meV per atom.